VZn3O after structural relaxation, computed with PBE with a Hubbard U.

Lattice parameters (Å, degrees): 4.234 4.234 4.234 90.00 90.00 90.00
Space group Pm-3m (No. 221)
One atom of each set of equivalent atoms:
V 0.000 0.000 0.000 x1
Zn 0.000 0.500 0.500 x3
O 0.500 0.500 0.500 x1

Summary:
Polymorph energy (0 for the lowest one), meV per atom: 0
Size of the total moment, Bohr magnetons per cell: 3.0
Final energy, Ha/atom: -0.11248